Record 1
# TlAs2Os (SCAN, single point on PBEsol structure)
data_TlAs2Os
_chemical_formula_sum 'Tl2 As4 Os2'
_space_group_name_H-M_alt 'I -4 m 2'
_space_group_IT_number 119
_space_group_name_Hall 'I -4 -2'
_cell_length_a 4.266
_cell_length_b 4.266
_cell_length_c 7.863
_cell_angle_alpha 90.00
_cell_angle_beta 90.00
_cell_angle_gamma 90.00
loop_
_atom_site_label
_atom_site_type_symbol
_atom_site_fract_x
_atom_site_fract_y
_atom_site_fract_z
Tl1 Tl 0.000 0.000 0.000
As1 As 0.000 0.000 0.500
As2 As 0.000 0.500 0.250
Os1 Os 0.000 0.500 0.750
# E_form (eV per formula unit): 3.8
# E above lowest polymorph (meV/atom): 835
# V (Å³ per atom): 17.89
# Uncorrected energy (eV/f.u.): -180.777

Record 2
# TaSnAsSe2 (SCAN, single point on PBEsol structure)
data_TaSnAsSe2
_chemical_formula_sum 'Ta1 Sn1 As1 Se2'
_space_group_name_H-M_alt 'P 4/m m m'
_space_group_IT_number 123
_space_group_name_Hall '-P 4 2'
_cell_length_a 4.958
_cell_length_b 4.958
_cell_length_c 5.040
_cell_angle_alpha 90.00
_cell_angle_beta 90.00
_cell_angle_gamma 90.00
loop_
_atom_site_label
_atom_site_type_symbol
_atom_site_fract_x
_atom_site_fract_y
_atom_site_fract_z
Ta1 Ta 0.000 0.000 0.000
Sn1 Sn 0.500 0.500 0.500
As1 As 0.000 0.000 0.500
Se1 Se 0.000 0.500 0.000
# ΔE_f (raw) (eV/atom): 0.0352
# E above lowest polymorph (meV/atom): 0
# V (Å³ per atom): 24.78
# Uncorrected energy (eV/f.u.): -162.676

Record 3
# MnFeSi2 (SCAN, single point on PBEsol structure)
data_MnFeSi2
_chemical_formula_sum 'Mn4 Fe4 Si8'
_space_group_name_H-M_alt 'I -4 2 d'
_space_group_IT_number 122
_space_group_name_Hall 'I -4 2bw'
_cell_length_a 6.272
_cell_length_b 6.272
_cell_length_c 5.145
_cell_angle_alpha 90.00
_cell_angle_beta 90.00
_cell_angle_gamma 90.00
loop_
_atom_site_label
_atom_site_type_symbol
_atom_site_fract_x
_atom_site_fract_y
_atom_site_fract_z
Mn1 Mn 0.000 0.000 0.000
Fe1 Fe 0.000 0.000 0.500
Si1 Si 0.234 0.250 0.625
# ΔE_f (raw) (eV/atom): 0.2105
# V (Å³ per atom): 12.65
# Uncorrected energy (eV/f.u.): -55.574

Record 4
# CrInCu2 (SCAN, single point on PBEsol structure)
data_CrInCu2
_chemical_formula_sum 'Cr2 In2 Cu4'
_space_group_name_H-M_alt 'C 1 2/m 1'
_space_group_IT_number 12
_cell_length_a 5.368
_cell_length_b 8.800
_cell_length_c 2.821
_cell_angle_alpha 90.00
_cell_angle_beta 116.74
_cell_angle_gamma 90.00
loop_
_space_group_symop_operation_xyz
'x,y,z'
'-x,-y,-z'
'-x,y,-z'
'x,-y,z'
'x+1/2,y+1/2,z'
'-x+1/2,-y+1/2,-z'
'-x+1/2,y+1/2,-z'
'x+1/2,-y+1/2,z'
loop_
_atom_site_label
_atom_site_type_symbol
_atom_site_fract_x
_atom_site_fract_y
_atom_site_fract_z
Cr1 Cr 0.000 0.000 0.000
In1 In 0.000 0.500 0.000
Cu1 Cu 0.250 0.250 0.500
# E_form (eV per formula unit): 1.1
# V (Å³ per atom): 14.87
# Uncorrected energy (eV/f.u.): -81.116

Record 5
# Ba3Mg (SCAN, single point on PBEsol structure)
data_Ba3Mg
_chemical_formula_sum 'Ba3 Mg1'
_space_group_name_H-M_alt 'P 4/m m m'
_space_group_IT_number 123
_space_group_name_Hall '-P 4 2'
_cell_length_a 4.327
_cell_length_b 4.327
_cell_length_c 10.580
_cell_angle_alpha 90.00
_cell_angle_beta 90.00
_cell_angle_gamma 90.00
loop_
_atom_site_label
_atom_site_type_symbol
_atom_site_fract_x
_atom_site_fract_y
_atom_site_fract_z
Ba1 Ba 0.000 0.000 0.000
Ba2 Ba 0.500 0.500 0.306
Mg1 Mg 0.000 0.000 0.500
# E_form (eV per formula unit): 0.0
# E above lowest polymorph (meV/atom): 0
# V (Å³ per atom): 49.51
# Uncorrected energy (eV/f.u.): -123.660

Record 6
# TcMoH2 (SCAN, single point on PBEsol structure)
data_TcMoH2
_chemical_formula_sum 'Tc4 Mo4 H8'
_space_group_name_H-M_alt 'I -4 2 d'
_space_group_IT_number 122
_space_group_name_Hall 'I -4 2bw'
_cell_length_a 4.124
_cell_length_b 4.124
_cell_length_c 8.327
_cell_angle_alpha 90.00
_cell_angle_beta 90.00
_cell_angle_gamma 90.00
loop_
_atom_site_label
_atom_site_type_symbol
_atom_site_fract_x
_atom_site_fract_y
_atom_site_fract_z
Tc1 Tc 0.000 0.000 0.000
Mo1 Mo 0.000 0.000 0.500
H1 H 0.239 0.250 0.125
# V (Å³ per atom): 8.85
# Uncorrected energy (eV/f.u.): -76.193

Record 7
# CuHgOs2 (SCAN, single point on PBEsol structure)
data_CuHgOs2
_chemical_formula_sum 'Cu2 Hg2 Os4'
_space_group_name_H-M_alt 'I m m m'
_space_group_IT_number 71
_space_group_name_Hall '-I 2 2'
_cell_length_a 2.785
_cell_length_b 4.391
_cell_length_c 9.743
_cell_angle_alpha 90.00
_cell_angle_beta 90.00
_cell_angle_gamma 90.00
loop_
_atom_site_label
_atom_site_type_symbol
_atom_site_fract_x
_atom_site_fract_y
_atom_site_fract_z
Cu1 Cu 0.000 0.000 0.000
Hg1 Hg 0.000 0.000 0.500
Os1 Os 0.000 0.500 0.283
# E_form (eV per formula unit): 2.7
# V (Å³ per atom): 14.89
# Uncorrected energy (eV/f.u.): -224.389

Record 8
# K2LiSiSb (SCAN, single point on PBEsol structure)
data_K2LiSiSb
_chemical_formula_sum 'K2 Li1 Si1 Sb1'
_space_group_name_H-M_alt 'P 4/m m m'
_space_group_IT_number 123
_space_group_name_Hall '-P 4 2'
_cell_length_a 6.145
_cell_length_b 6.145
_cell_length_c 4.818
_cell_angle_alpha 90.00
_cell_angle_beta 90.00
_cell_angle_gamma 90.00
loop_
_atom_site_label
_atom_site_type_symbol
_atom_site_fract_x
_atom_site_fract_y
_atom_site_fract_z
K1 K 0.000 0.500 0.000
Li1 Li 0.000 0.000 0.500
Si1 Si 0.000 0.000 0.000
Sb1 Sb 0.500 0.500 0.500
# ΔE_f (raw) (eV/atom): 0.3899
# V (Å³ per atom): 36.39
# Uncorrected energy (eV/f.u.): -64.374

Record 9
# SrZnSb (SCAN, single point on PBEsol structure)
data_SrZnSb
_chemical_formula_sum 'Sr1 Zn1 Sb1'
_space_group_name_H-M_alt 'P 3 m 1'
_space_group_IT_number 156
_cell_length_a 4.4831
_cell_length_b 4.4831
_cell_length_c 4.6488
_cell_angle_alpha 90.00
_cell_angle_beta 90.00
_cell_angle_gamma 120.00
loop_
_space_group_symop_operation_xyz
'x,y,z'
'-y,x-y,z'
'-x+y,-x,z'
'-y,-x,z'
'-x+y,y,z'
'x,x-y,z'
loop_
_atom_site_label
_atom_site_type_symbol
_atom_site_fract_x
_atom_site_fract_y
_atom_site_fract_z
Sr1 Sr 0.0000 0.0000 0.0000
Zn1 Zn 0.3333 0.6667 0.5815
Sb1 Sb 0.6667 0.3333 0.4751
# ΔE_f (raw) (eV/atom): -0.6783
# V (Å³ per atom): 26.97
# Uncorrected energy (eV/f.u.): -75.086

Record 10
# TiGeTe6 (SCAN, single point on PBEsol structure)
data_TiGeTe6
_chemical_formula_sum 'Ti4 Ge4 Te24'
_space_group_name_H-M_alt 'C 1 2/m 1'
_space_group_IT_number 12
_cell_length_a 14.027
_cell_length_b 3.872
_cell_length_c 17.380
_cell_angle_alpha 90.00
_cell_angle_beta 105.27
_cell_angle_gamma 90.00
loop_
_space_group_symop_operation_xyz
'x,y,z'
'-x,-y,-z'
'-x,y,-z'
'x,-y,z'
'x+1/2,y+1/2,z'
'-x+1/2,-y+1/2,-z'
'-x+1/2,y+1/2,-z'
'x+1/2,-y+1/2,z'
loop_
_atom_site_label
_atom_site_type_symbol
_atom_site_fract_x
_atom_site_fract_y
_atom_site_fract_z
Ti1 Ti 0.237 0.000 0.259
Ge1 Ge 0.221 0.000 0.406
Te1 Te 0.084 0.500 0.255
Te2 Te 0.088 0.000 0.115
Te3 Te 0.121 0.500 0.463
Te4 Te 0.127 0.000 0.652
Te5 Te 0.158 0.500 0.016
Te6 Te 0.183 0.000 0.823
# ΔE_f (raw) (eV/atom): -0.3184
# V (Å³ per atom): 28.46
# Uncorrected energy (eV/f.u.): -261.171

Record 11
# CoRe2Ni (SCAN, single point on PBEsol structure)
data_CoRe2Ni
_chemical_formula_sum 'Co1 Re2 Ni1'
_space_group_name_H-M_alt 'P m m 2'
_space_group_IT_number 25
_cell_length_a 2.608
_cell_length_b 4.170
_cell_length_c 4.525
_cell_angle_alpha 90.00
_cell_angle_beta 90.00
_cell_angle_gamma 90.00
loop_
_space_group_symop_operation_xyz
'x,y,z'
'-x,-y,z'
'-x,y,z'
'x,-y,z'
loop_
_atom_site_label
_atom_site_type_symbol
_atom_site_fract_x
_atom_site_fract_y
_atom_site_fract_z
Co1 Co 0.000 0.000 0.000
Re1 Re 0.500 0.000 0.516
Re2 Re 0.500 0.500 0.172
Ni1 Ni 0.000 0.500 0.688
# E_form (eV per formula unit): 0.0
# E above lowest polymorph (meV/atom): 0
# V (Å³ per atom): 12.30
# Uncorrected energy (eV/f.u.): -175.652

Record 12
# SiIr2Au (SCAN, single point on PBEsol structure)
data_SiIr2Au
_chemical_formula_sum 'Si3 Ir6 Au3'
_space_group_name_H-M_alt 'R 3 m'
_space_group_IT_number 160
_space_group_name_Hall 'R 3 -2"'
_cell_length_a 2.8114
_cell_length_b 2.8114
_cell_length_c 25.2998
_cell_angle_alpha 90.00
_cell_angle_beta 90.00
_cell_angle_gamma 120.00
loop_
_atom_site_label
_atom_site_type_symbol
_atom_site_fract_x
_atom_site_fract_y
_atom_site_fract_z
Si1 Si 0.0000 0.0000 0.0000
Ir1 Ir 0.0000 0.0000 0.2616
Ir2 Ir 0.0000 0.0000 0.5069
Au1 Au 0.0000 0.0000 0.7474
# ΔE_f (raw) (eV/atom): 0.0438
# V (Å³ per atom): 14.43
# Uncorrected energy (eV/f.u.): -221.196

Record 13
# AsPbSe2Br (SCAN, single point on PBEsol structure)
data_AsPbSe2Br
_chemical_formula_sum 'As1 Pb1 Se2 Br1'
_space_group_name_H-M_alt 'P 4/m m m'
_space_group_IT_number 123
_space_group_name_Hall '-P 4 2'
_cell_length_a 5.100
_cell_length_b 5.100
_cell_length_c 5.097
_cell_angle_alpha 90.00
_cell_angle_beta 90.00
_cell_angle_gamma 90.00
loop_
_atom_site_label
_atom_site_type_symbol
_atom_site_fract_x
_atom_site_fract_y
_atom_site_fract_z
As1 As 0.000 0.000 0.000
Pb1 Pb 0.500 0.500 0.000
Se1 Se 0.000 0.500 0.500
Br1 Br 0.000 0.000 0.500
# ΔE_f (raw) (eV/atom): 0.6841
# V (Å³ per atom): 26.52
# Uncorrected energy (eV/f.u.): -152.168

Record 14
# BaTl2Cd (SCAN, single point on PBEsol structure)
data_BaTl2Cd
_chemical_formula_sum 'Ba1 Tl2 Cd1'
_space_group_name_H-M_alt 'P 1 2/m 1'
_space_group_IT_number 10
_cell_length_a 3.799
_cell_length_b 4.893
_cell_length_c 6.761
_cell_angle_alpha 90.00
_cell_angle_beta 102.20
_cell_angle_gamma 90.00
loop_
_space_group_symop_operation_xyz
'x,y,z'
'-x,-y,-z'
'-x,y,-z'
'x,-y,z'
loop_
_atom_site_label
_atom_site_type_symbol
_atom_site_fract_x
_atom_site_fract_y
_atom_site_fract_z
Ba1 Ba 0.000 0.000 0.000
Tl1 Tl 0.331 0.500 0.710
Cd1 Cd 0.500 0.000 0.500
# E_form (eV per formula unit): -1.2
# V (Å³ per atom): 30.71
# Uncorrected energy (eV/f.u.): -215.929

Record 15
# CrCdGaAs2 (SCAN, single point on PBEsol structure)
data_CrCdGaAs2
_chemical_formula_sum 'Cr1 Cd1 Ga1 As2'
_space_group_name_H-M_alt 'P 4/m m m'
_space_group_IT_number 123
_space_group_name_Hall '-P 4 2'
_cell_length_a 5.110
_cell_length_b 5.110
_cell_length_c 4.884
_cell_angle_alpha 90.00
_cell_angle_beta 90.00
_cell_angle_gamma 90.00
loop_
_atom_site_label
_atom_site_type_symbol
_atom_site_fract_x
_atom_site_fract_y
_atom_site_fract_z
Cr1 Cr 0.000 0.000 0.000
Cd1 Cd 0.500 0.500 0.500
Ga1 Ga 0.500 0.500 0.000
As1 As 0.000 0.500 0.500
# E_form (eV per formula unit): 4.5
# V (Å³ per atom): 25.51
# Uncorrected energy (eV/f.u.): -100.979

Record 16
# LaP3Os (SCAN, single point on PBEsol structure)
data_LaP3Os
_chemical_formula_sum 'La1 P3 Os1'
_space_group_name_H-M_alt 'P m -3 m'
_space_group_IT_number 221
_space_group_name_Hall '-P 4 2 3'
_cell_length_a 5.125
_cell_length_b 5.125
_cell_length_c 5.125
_cell_angle_alpha 90.00
_cell_angle_beta 90.00
_cell_angle_gamma 90.00
loop_
_atom_site_label
_atom_site_type_symbol
_atom_site_fract_x
_atom_site_fract_y
_atom_site_fract_z
La1 La 0.000 0.000 0.000
P1 P 0.000 0.000 0.500
Os1 Os 0.500 0.500 0.500
# E_form (eV per formula unit): 11.0
# V (Å³ per atom): 26.92
# Uncorrected energy (eV/f.u.): -135.208

Record 17
# ScBCl3 (SCAN, single point on PBEsol structure)
data_ScBCl3
_chemical_formula_sum 'Sc1 B1 Cl3'
_space_group_name_H-M_alt 'P m -3 m'
_space_group_IT_number 221
_space_group_name_Hall '-P 4 2 3'
_cell_length_a 4.377
_cell_length_b 4.377
_cell_length_c 4.377
_cell_angle_alpha 90.00
_cell_angle_beta 90.00
_cell_angle_gamma 90.00
loop_
_atom_site_label
_atom_site_type_symbol
_atom_site_fract_x
_atom_site_fract_y
_atom_site_fract_z
Sc1 Sc 0.000 0.000 0.000
B1 B 0.500 0.500 0.500
Cl1 Cl 0.000 0.500 0.500
# ΔE_f (raw) (eV/atom): -0.1068
# V (Å³ per atom): 16.77
# Uncorrected energy (eV/f.u.): -46.134

Record 18
# BeFe2Re (SCAN, single point on PBEsol structure)
data_BeFe2Re
_chemical_formula_sum 'Be2 Fe4 Re2'
_space_group_name_H-M_alt 'I 4/m m m'
_space_group_IT_number 139
_space_group_name_Hall '-I 4 2'
_cell_length_a 3.777
_cell_length_b 3.777
_cell_length_c 6.046
_cell_angle_alpha 90.00
_cell_angle_beta 90.00
_cell_angle_gamma 90.00
loop_
_atom_site_label
_atom_site_type_symbol
_atom_site_fract_x
_atom_site_fract_y
_atom_site_fract_z
Be1 Be 0.000 0.000 0.000
Fe1 Fe 0.000 0.500 0.250
Re1 Re 0.000 0.000 0.500
# E_form (eV per formula unit): 0.2
# V (Å³ per atom): 10.78
# Uncorrected energy (eV/f.u.): -111.523

Record 19
# PdCBr2 (SCAN, single point on PBEsol structure)
data_PdCBr2
_chemical_formula_sum 'Pd3 C3 Br6'
_space_group_name_H-M_alt 'R -3 m'
_space_group_IT_number 166
_space_group_name_Hall '-R 3 2"'
_cell_length_a 3.3317
_cell_length_b 3.3317
_cell_length_c 23.2394
_cell_angle_alpha 90.00
_cell_angle_beta 90.00
_cell_angle_gamma 120.00
loop_
_atom_site_label
_atom_site_type_symbol
_atom_site_fract_x
_atom_site_fract_y
_atom_site_fract_z
Pd1 Pd 0.0000 0.0000 0.0000
C1 C 0.0000 0.0000 0.5000
Br1 Br 0.0000 0.0000 0.1033
# ΔE_f (raw) (eV/atom): 1.4409
# V (Å³ per atom): 18.62
# Uncorrected energy (eV/f.u.): -76.030

Record 20
# KReB2 (SCAN, single point on PBEsol structure)
data_KReB2
_chemical_formula_sum 'K4 Re4 B8'
_space_group_name_H-M_alt 'I -4 2 d'
_space_group_IT_number 122
_space_group_name_Hall 'I -4 2bw'
_cell_length_a 6.412
_cell_length_b 6.412
_cell_length_c 9.105
_cell_angle_alpha 90.00
_cell_angle_beta 90.00
_cell_angle_gamma 90.00
loop_
_atom_site_label
_atom_site_type_symbol
_atom_site_fract_x
_atom_site_fract_y
_atom_site_fract_z
K1 K 0.000 0.000 0.000
Re1 Re 0.000 0.000 0.500
B1 B 0.038 0.750 0.625
# E_form (eV per formula unit): 2.3
# V (Å³ per atom): 23.40
# Uncorrected energy (eV/f.u.): -91.937